First-principles (PBE) data for a geometry-optimized HoTaFe4 structure, as listed in Alexandria via LeMat-Bulk.

POSCAR file:
```
HoTaFe4
1.0
4.975 0.000 0.000
2.487 4.308 0.000
2.487 1.436 4.062
Fe Ho Ta
4 1 1
Direct
0.624 0.624 0.127
0.624 0.127 0.624
0.624 0.624 0.624
0.127 0.624 0.624
0.000 0.000 0.000
0.250 0.250 0.250
```

Output
energy above the most stable polymorph in this dataset	30	meV/atom
ΔE_f	-0.09	eV per atom
DOS at the Fermi energy	3.630	states/eV/cell
final energy	-8.469	eV per atom
magnetization	6.56	μB per formula unit
crystal system	cubic
SG	F-43m

=====

First-principles (PBE) data for a geometry-optimized LaSc2V structure, as listed in Alexandria via LeMat-Bulk.

POSCAR file:
```
LaSc2V
1.0
-1.169 1.830 -2.394
0.169 -1.037 -3.057
-10.144 -4.568 -0.721
Sc V La
2 1 1
Direct
0.079 0.079 0.764
0.921 0.921 0.236
0.000 0.000 0.000
0.500 0.500 0.500
```

Output
energy above the most stable polymorph in this dataset	410	meV/atom
ΔE_f	0.59	eV per atom
DOS at the Fermi energy	6.454	states/eV/cell
final energy	-6.085	eV per atom
magnetization	2.77	μB per formula unit
crystal system	trigonal
SG	R-3m

=====

Values for V, Å³/cell, ordered as above
87.05, 99.44